# 1
A plane-wave DFT calculation with PBE-GGA was carried out for a relaxed SrV3N crystal.

The structure in POSCAR format:
```
SrV3N
1.0
4.205 0.000 0.000
0.000 4.205 0.000
0.000 0.000 4.205
Sr V N
1 3 1
Cartesian
0.000 0.000 0.000
0.000 2.102 2.102
2.102 0.000 2.102
2.102 2.102 0.000
2.102 2.102 2.102
```

Energy relative to the lowest polymorph listed for this composition in kJ/mol of atoms: 0.00
Formation energy from raw total energies in eV per atom: 0.341
E_tot in eV per atom: -7.132
SG: Pm-3m



# 2
A plane-wave DFT calculation with PBE-GGA was carried out for a relaxed TcHgBi3 crystal.

The structure in POSCAR format:
```
TcHgBi3
1.0
5.349 0.000 0.000
0.000 5.349 0.000
0.000 0.000 5.349
Tc Hg Bi
1 1 3
Cartesian
0.000 0.000 0.000
2.675 2.675 2.675
0.000 0.000 2.675
0.000 2.675 0.000
2.675 0.000 0.000
```

Energy relative to the lowest polymorph listed for this composition in kJ/mol of atoms: 0.00
E_tot in eV per atom: -3.981
SG: Pm-3m



# 3
A plane-wave DFT calculation with PBE-GGA was carried out for a relaxed K2CdAgI6 crystal.

The structure in POSCAR format:
```
K2CdAgI6
1.0
7.741 0.000 0.000
-3.725 7.080 0.000
-3.704 -1.984 7.547
K Cd Ag I
2 1 1 6
Cartesian
-1.712 1.410 2.197
2.024 3.686 5.350
2.008 3.540 0.000
2.018 -0.992 3.773
-4.022 0.330 6.583
-0.272 -0.193 5.224
-1.876 3.560 5.054
2.188 1.536 2.493
0.584 5.289 2.322
4.334 4.766 0.963
```

Formation energy from raw total energies in eV per atom: -0.750
E_tot in eV per atom: -2.276
SG: P-1